Density functional theory data (PBE with a Hubbard U) for NpVO6 after structural relaxation.

Calculated values
Total moment (μB/atom): 0.000
Total energy (eV per atom): -8.336

CIF file:
```
data_NpVO6
_cell_length_a 5.432
_cell_length_b 5.455
_cell_length_c 5.455
_cell_angle_alpha 60.48
_cell_angle_beta 89.97
_cell_angle_gamma 60.61
_space_group_name_H-M_alt 'P -1'
_space_group_IT_number 2
loop_
_space_group_symop_operation_xyz
'x,y,z'
'-x,-y,-z'
loop_
_atom_site_label
_atom_site_type_symbol
_atom_site_fract_x
_atom_site_fract_y
_atom_site_fract_z
Np1 Np 0.000 0.000 0.000
V1 V 0.500 0.000 0.500
O1 O 0.200 0.026 0.278
O2 O 0.275 0.031 0.773
O3 O 0.300 0.458 0.269
```